## Ta2CuO6 (PBEsol)

Data for an optimized crystal structure of Ta2CuO6.

The structure belongs to space group P4_2/mnm (No. 136); the cell edges are 4.7384, 4.7384 and 9.0748 Å and the angles 90.00°, 90.00° and 90.00°. Symmetry generates all atoms from Ta at (0.0000, 0.0000, 0.1683), Cu at (0.0000, 0.0000, 0.5000), O at (0.1907, 0.1907, 0.0000) and O at (0.2032, 0.2032, 0.3260).

The total energy is -163.0 eV for the cell shown. The value obtained for the relative energy among the computed polymorphs is 16 meV/atom. The calculation puts the total magnetic moment at 2.009 μB per cell. As for the crystal system: tetragonal. The energy relative to the elements, uncorrected comes out at -20.55 eV/f.u.

---

## TbCuW2O8 (PBEsol)

Data for an optimized crystal structure of TbCuW2O8.

The structure belongs to space group P-1 (No. 2); the cell edges are 4.9977, 6.0026 and 6.0326 Å and the angles 109.33°, 91.85° and 113.34°. Symmetry generates all atoms from Tb at (0.0000, 0.0000, 0.0000), Cu at (0.5000, 0.0000, 0.5000), W at (0.2447, 0.4814, 0.6697), O at (0.0037, 0.2500, 0.7829), O at (0.0304, 0.6931, 0.6689), O at (0.4614, 0.2961, 0.5235) and O at (0.4909, 0.2654, 0.0693).

The total energy is -105.8 eV for the cell shown. The calculation puts the total magnetic moment at 0.000 μB per cell. As for the crystal system: triclinic. The energy relative to the elements, uncorrected comes out at -26.87 eV/f.u.